No. 1
First-principles (PBE) data for a geometry-optimized CoPdI2 structure, as listed in Alexandria via LeMat-Bulk.

Calculated values
The value obtained for the theoretical density is 6.7 Mg/m³. The calculation puts the excess energy over the best structure of this formula in the dataset at 9.78 kJ/mol of atoms. For the calculated total energy, the calculation gives -3.5687 eV/atom. The calculation puts the uncorrected formation energy at 281 meV per atom.

Unit cell a=8.341 b=8.341 c=8.341 alpha=26.70 beta=26.70 gamma=26.70
Fractional coordinates of all 4 atoms:
Co 0.000 0.000 0.000
Pd 0.500 0.500 0.500
I 0.393 0.393 0.393
I 0.607 0.607 0.607

***

No. 2
First-principles (PBE) data for a geometry-optimized BaMg3C structure, as listed in Alexandria via LeMat-Bulk.

Calculated values
The value obtained for the calculated formation energy is 2.207 eV/atom. The value obtained for the theoretical density is 1.0 Mg/m³. The calculation puts the excess energy over the best structure of this formula in the dataset at 164.99 kJ/mol of atoms. For the calculated total energy, the calculation gives -0.9786 eV/atom.

Unit cell a=7.149 b=7.149 c=7.149 alpha=90.00 beta=90.00 gamma=90.00
Fractional coordinates of all 5 atoms:
Ba 0.000 0.000 0.000
Mg 0.000 0.000 0.500
Mg 0.000 0.500 0.000
Mg 0.500 0.000 0.000
C 0.500 0.500 0.500

***

No. 3
First-principles (PBE) data for a geometry-optimized MnCr2W structure, as listed in Alexandria via LeMat-Bulk.

Calculated values
The value obtained for the calculated formation energy is 0.094 eV/atom. The value obtained for the theoretical density is 10.9 Mg/m³. The calculation puts the excess energy over the best structure of this formula in the dataset at 1.33 kJ/mol of atoms. For the calculated total energy, the calculation gives -10.2486 eV/atom.

Unit cell a=4.168 b=4.168 c=3.005 alpha=90.00 beta=90.00 gamma=90.00
Fractional coordinates of all 4 atoms:
Mn 0.000 0.000 0.000
Cr 0.000 0.500 0.500
Cr 0.500 0.000 0.500
W 0.500 0.500 0.000

***

> Among the records above, which one has the lowest excess energy over the best structure of this formula in the dataset?

MnCr2W